[1]
HfAlGe3 | SCAN | single point on PBEsol structure

Calculated values
formation energy = 624 meV/atom
Fermi-level density of states = 0.3836 states/eV/atom
total DFT energy (no corrections) = -24.91 eV/atom
distance to the lowest polymorph of the same formula = 0.0 kJ/mol of atoms

Cell: 5.0745 5.0745 5.0745 Å, 90.00 90.00 90.00°
With the nearest neighbours (Å) after each atom.
Space group Pm-3m (No. 221)
Inequivalent atoms, fractional coordinates:
Hf: 0.0000 0.0000 0.0000 [1 per cell]  6 Ge 2.54
Al: 0.5000 0.5000 0.5000 [1 per cell]  12 Ge 3.59
Ge: 0.0000 0.0000 0.5000 [3 per cell]  2 Hf 2.54

[2]
TcPdSF2 | SCAN | single point on PBEsol structure

Calculated values
formation energy (no corrections) = -1.919 eV/f.u.
Fermi-level density of states = 0.3382 states/eV/atom
total DFT energy (no corrections) = -17.29 eV/atom

Cell: 3.8124 3.8124 5.4958 Å, 90.00 90.00 90.00°
With the nearest neighbours (Å) after each atom.
Space group P4/mmm (No. 123)
Inequivalent atoms, fractional coordinates:
Tc: 0.0000 0.0000 0.0000 [1 per cell]  4 S 2.70, 2 Pd 2.75
Pd: 0.0000 0.0000 0.5000 [1 per cell]  4 F 1.91
S: 0.5000 0.5000 0.0000 [1 per cell]  4 Tc 2.70
F: 0.0000 0.5000 0.5000 [2 per cell]  2 Pd 1.91

[3]
CaRePbW2 | SCAN | single point on PBEsol structure

Calculated values
formation energy = 1442 meV/atom
Fermi-level density of states = 0.8989 states/eV/atom
total DFT energy (no corrections) = -57.74 eV/atom

Cell: 4.7396 4.7396 5.3954 Å, 90.00 90.00 90.00°
With the nearest neighbours (Å) after each atom.
Space group P4/mmm (No. 123)
Inequivalent atoms, fractional coordinates:
Ca: 0.0000 0.0000 0.0000 [1 per cell]  2 Re 2.70
Re: 0.0000 0.0000 0.5000 [1 per cell]  4 W 2.37
Pb: 0.5000 0.5000 0.0000 [1 per cell]  4 Ca 3.35, 8 W 3.59
W: 0.0000 0.5000 0.5000 [2 per cell]  2 Re 2.37

[4]
CdTcCl2 | SCAN | single point on PBEsol structure

Calculated values
formation energy (no corrections) = 1.284 eV/f.u.
Fermi-level density of states = 0.3154 states/eV/atom
total DFT energy (no corrections) = -20.04 eV/atom
distance to the lowest polymorph of the same formula = 35.7 kJ/mol of atoms

Cell: 4.4116 4.4116 3.9542 Å, 90.00 90.00 90.00°
With the nearest neighbours (Å) after each atom.
Space group P4/mmm (No. 123)
Inequivalent atoms, fractional coordinates:
Cd: 0.0000 0.0000 0.0000 [1 per cell]  8 Cl 2.96, 4 Tc 3.12
Tc: 0.5000 0.5000 0.0000 [1 per cell]  8 Cl 2.96, 4 Cd 3.12
Cl: 0.0000 0.5000 0.5000 [2 per cell]  4 Tc 2.96, 4 Cd 2.96, 4 Cl 3.12

Which of these has the lowest total DFT energy (no corrections)?
CaRePbW2

total DFT energy (no corrections) of number 1 (HfAlGe3)?
-24.91 eV/atom